a) A plane-wave DFT calculation with PBE was carried out for a geometry-optimized NaRe2Os structure.

```
NaRe2Os
1.0
6.2193 0.0000 0.0000
0.0000 6.2193 0.0000
0.0000 0.0000 6.2193
Na Re Os
4 8 4
Direct
0.0000 0.0000 0.0000
0.0000 0.5000 0.5000
0.5000 0.0000 0.5000
0.5000 0.5000 0.0000
0.2500 0.2500 0.2500
0.2500 0.2500 0.7500
0.2500 0.7500 0.2500
0.2500 0.7500 0.7500
0.7500 0.2500 0.2500
0.7500 0.2500 0.7500
0.7500 0.7500 0.2500
0.7500 0.7500 0.7500
0.0000 0.0000 0.5000
0.0000 0.5000 0.0000
0.5000 0.0000 0.0000
0.5000 0.5000 0.5000
```

Calculated values
Density, g/cm3: 16.2
D(E_F), states/eV per atom: 0.641

***

b) A plane-wave DFT calculation with PBE was carried out for a geometry-optimized NaRe2Os structure.

```
NaRe2Os
1.0
7.5123 0.0000 0.0000
0.0000 7.5123 0.0000
0.0000 0.0000 5.2310
Na Re Os
4 8 4
Direct
0.0000 0.0000 0.0000
0.0000 0.5000 0.2500
0.5000 0.0000 0.7500
0.5000 0.5000 0.5000
0.1895 0.2500 0.6250
0.2500 0.6895 0.8750
0.2500 0.8105 0.3750
0.3105 0.2500 0.1250
0.6895 0.7500 0.1250
0.7500 0.1895 0.3750
0.7500 0.3105 0.8750
0.8105 0.7500 0.6250
0.0000 0.0000 0.5000
0.0000 0.5000 0.7500
0.5000 0.0000 0.2500
0.5000 0.5000 0.0000
```

Calculated values
Density, g/cm3: 13.2
D(E_F), states/eV per atom: 1.365

***

a) is preferred energetically. Next in line: 0.287 eV/atom higher.